## CrHPt2 (PBE)

Data for a geometry-optimized CrHPt2 structure.

It has space group Fm-3m (No. 225), with a = 5.903 Å, b = 5.903 Å, c = 5.903 Å, α = 90.00°, β = 90.00° and γ = 90.00°. Symmetry generates all atoms from Cr at (0.000, 0.000, 0.000), H at (0.000, 0.000, 0.500) and Pt at (0.250, 0.250, 0.250).

As for the polymorph energy (0 for the lowest one): 0.093 eV per atom.

=====

## KSb (PBE)

Data for a geometry-optimized KSb structure.

It has space group I4/mmm (No. 139), with a = 12.651 Å, b = 12.651 Å, c = 5.055 Å, α = 90.00°, β = 90.00° and γ = 90.00°. Symmetry generates all atoms from K at (0.000, 0.249, 0.000) and Sb at (0.210, 0.210, 0.500).

As for the polymorph energy (0 for the lowest one): 0.133 eV per atom. The raw formation energy comes out at -307 meV per atom.

=====

## GePF3 (PBE)

Data for a geometry-optimized GePF3 structure.

It has space group Pm-3m (No. 221), with a = 4.255 Å, b = 4.255 Å, c = 4.255 Å, α = 90.00°, β = 90.00° and γ = 90.00°. Symmetry generates all atoms from Ge at (0.000, 0.000, 0.000), P at (0.500, 0.500, 0.500) and F at (0.000, 0.500, 0.500).

As for the polymorph energy (0 for the lowest one): 0.176 eV per atom. The raw formation energy comes out at -698 meV per atom.

=====

Number 1: calculated volume 206 Å³ per cell. Number 2: calculated volume 809 Å³ per cell. Number 3: calculated volume 77 Å³ per cell.